First-principles (PBE-GGA) data for a relaxed TbEr2Rh crystal, as listed in Alexandria.

Calculated values
**Calculated density**: 8745 kg/m³
**DFT formation energy**: -1.4 eV per formula unit
**Excess energy over the best structure of this formula in the dataset**: 0.75 eV per formula unit
**Fermi-level density of states**: 5.028 states/eV/f.u.
**E_tot**: -5.6317 eV per atom

```
data_TbEr2Rh
_chemical_formula_sum 'Tb3 Er6 Rh3'
_cell_length_a 3.809
_cell_length_b 3.809
_cell_length_c 27.044
_cell_angle_alpha 90.00
_cell_angle_beta 90.00
_cell_angle_gamma 120.00
_space_group_name_H-M_alt 'P 1'
_space_group_IT_number 1
loop_
_space_group_symop_operation_xyz
'x,y,z'
loop_
_atom_site_label
_atom_site_type_symbol
_atom_site_fract_x
_atom_site_fract_y
_atom_site_fract_z
Tb1 Tb 0.000 0.000 0.000
Tb2 Tb 0.333 0.667 0.667
Tb3 Tb 0.667 0.333 0.333
Er1 Er 0.000 0.000 0.228
Er2 Er 0.000 0.000 0.442
Er3 Er 0.333 0.667 0.109
Er4 Er 0.333 0.667 0.895
Er5 Er 0.667 0.333 0.561
Er6 Er 0.667 0.333 0.776
Rh1 Rh 0.000 0.000 0.835
Rh2 Rh 0.333 0.667 0.502
Rh3 Rh 0.667 0.333 0.169
```